Tl3In5Hg3: optimized geometry, PBE-GGA.

Unit cell a=6.077 b=6.564 c=8.370 alpha=76.78 beta=72.10 gamma=85.72
Sites, in units of the cell vectors:
Tl 0.000 0.000 0.000
Tl 0.170 0.608 0.292
Tl 0.349 0.229 0.577
In 0.435 0.086 0.181
In 0.570 0.861 0.846
In 0.744 0.488 0.123
In 0.783 0.374 0.721
In 0.906 0.112 0.410
Hg 0.095 0.766 0.662
Hg 0.271 0.453 0.925
Hg 0.613 0.726 0.441

Properties
space group: No. 1
final energy: -1.96 eV per atom